1.
# DyTmMgAg (PBE-GGA, relaxed)
# E above lowest polymorph	0.041	eV/atom
# total energy	-3.53	eV per atom
# energy relative to the elements	-0.58	eV per formula unit
data_DyTmMgAg
_space_group_name_H-M_alt 'P 1'
_space_group_IT_number 1
_cell_length_a 5.2112
_cell_length_b 5.2112
_cell_length_c 5.2112
_cell_angle_alpha 60.00
_cell_angle_beta 60.00
_cell_angle_gamma 60.00
loop_
_space_group_symop_operation_xyz
'x,y,z'
loop_
_atom_site_label
_atom_site_type_symbol
_atom_site_fract_x
_atom_site_fract_y
_atom_site_fract_z
_atom_site_occupancy
Mg1 Mg 0.7500 0.7500 0.7500 1
Tm1 Tm 0.5000 0.5000 0.5000 1
Ag1 Ag 0.2500 0.2500 0.2500 1
Dy1 Dy 0.0000 0.0000 0.0000 1

***

2.
# DyMgZnAg (PBE-GGA, relaxed)
# total energy	-2.90	eV per atom
# energy relative to the elements	-1.29	eV per formula unit
data_DyMgZnAg
_space_group_name_H-M_alt 'P 1'
_space_group_IT_number 1
_cell_length_a 4.8880
_cell_length_b 4.8880
_cell_length_c 4.8880
_cell_angle_alpha 60.00
_cell_angle_beta 60.00
_cell_angle_gamma 60.00
loop_
_space_group_symop_operation_xyz
'x,y,z'
loop_
_atom_site_label
_atom_site_type_symbol
_atom_site_fract_x
_atom_site_fract_y
_atom_site_fract_z
_atom_site_occupancy
Zn1 Zn 0.7500 0.7500 0.7500 1
Mg1 Mg 0.0000 0.0000 0.0000 1
Ag1 Ag 0.2500 0.2500 0.2500 1
Dy1 Dy 0.5000 0.5000 0.5000 1

***

3.
# Dy2MnAg (PBE-GGA, relaxed)
# total energy	-5.38	eV per atom
# energy relative to the elements	-0.30	eV per formula unit
data_Dy2MnAg
_space_group_name_H-M_alt 'P 1'
_space_group_IT_number 1
_cell_length_a 3.5647
_cell_length_b 3.5647
_cell_length_c 7.2670
_cell_angle_alpha 90.00
_cell_angle_beta 90.00
_cell_angle_gamma 90.00
loop_
_space_group_symop_operation_xyz
'x,y,z'
loop_
_atom_site_label
_atom_site_type_symbol
_atom_site_fract_x
_atom_site_fract_y
_atom_site_fract_z
_atom_site_occupancy
Mn1 Mn 0.5000 0.5000 0.0000 1
Ag1 Ag 0.5000 0.5000 0.5000 1
Dy1 Dy 0.0000 0.0000 0.7613 1
Dy2 Dy 0.0000 0.0000 0.2387 1

***

4.
# NdDyMnAg (PBE-GGA, relaxed)
# total energy	-5.32	eV per atom
# energy relative to the elements	0.10	eV per formula unit
data_NdDyMnAg
_space_group_name_H-M_alt 'P 1'
_space_group_IT_number 1
_cell_length_a 5.1727
_cell_length_b 5.1727
_cell_length_c 5.1727
_cell_angle_alpha 60.00
_cell_angle_beta 60.00
_cell_angle_gamma 60.00
loop_
_space_group_symop_operation_xyz
'x,y,z'
loop_
_atom_site_label
_atom_site_type_symbol
_atom_site_fract_x
_atom_site_fract_y
_atom_site_fract_z
_atom_site_occupancy
Mn1 Mn 0.7500 0.7500 0.7500 1
Nd1 Nd 0.0000 0.0000 0.0000 1
Ag1 Ag 0.2500 0.2500 0.2500 1
Dy1 Dy 0.5000 0.5000 0.5000 1

***

5.
# PmDyMnAg (PBE-GGA, relaxed)
# total energy	-5.33	eV per atom
# energy relative to the elements	0.07	eV per formula unit
data_PmDyMnAg
_space_group_name_H-M_alt 'P 1'
_space_group_IT_number 1
_cell_length_a 5.1540
_cell_length_b 5.1540
_cell_length_c 5.1540
_cell_angle_alpha 60.00
_cell_angle_beta 60.00
_cell_angle_gamma 60.00
loop_
_space_group_symop_operation_xyz
'x,y,z'
loop_
_atom_site_label
_atom_site_type_symbol
_atom_site_fract_x
_atom_site_fract_y
_atom_site_fract_z
_atom_site_occupancy
Mn1 Mn 0.5000 0.5000 0.5000 1
Pm1 Pm 0.7500 0.7500 0.7500 1
Ag1 Ag 0.0000 0.0000 0.0000 1
Dy1 Dy 0.2500 0.2500 0.2500 1

***

6.
# DyMnAgRh (PBE-GGA, relaxed)
# total energy	-6.20	eV per atom
# energy relative to the elements	-0.83	eV per formula unit
data_DyMnAgRh
_space_group_name_H-M_alt 'P 1'
_space_group_IT_number 1
_cell_length_a 4.7297
_cell_length_b 4.7297
_cell_length_c 4.7297
_cell_angle_alpha 60.00
_cell_angle_beta 60.00
_cell_angle_gamma 60.00
loop_
_space_group_symop_operation_xyz
'x,y,z'
loop_
_atom_site_label
_atom_site_type_symbol
_atom_site_fract_x
_atom_site_fract_y
_atom_site_fract_z
_atom_site_occupancy
Mn1 Mn 0.0000 0.0000 0.0000 1
Rh1 Rh 0.2500 0.2500 0.2500 1
Ag1 Ag 0.7500 0.7500 0.7500 1
Dy1 Dy 0.5000 0.5000 0.5000 1